[1]
## Nd2Al3InPd4 (PBE)

Data for a relaxed structure of Nd2Al3InPd4.

Computed properties:
DOS(E_F)	9.13	states/eV/f.u.
formation energy	-794	meV per atom

a b c (Å): 4.453 4.453 10.209
angles (deg): 90.00 90.00 90.00
Atoms (fractional coordinates):
In 0.500 0.500 0.500
Pd 0.500 0.000 0.643
Al 0.500 0.000 0.883
Pd 0.000 0.000 0.000
Nd 0.000 0.500 0.756
Pd 0.500 0.500 0.000
Pd 0.000 0.500 0.357
Al 0.000 0.500 0.117
Al 0.000 0.000 0.500
Nd 0.500 0.000 0.244

[2]
## Nd2Al2InPd5 (PBE)

Data for a relaxed structure of Nd2Al2InPd5.

Computed properties:
DOS(E_F)	5.99	states/eV/f.u.
formation energy	-724	meV per atom

a b c (Å): 3.489 10.508 10.508
angles (deg): 90.00 90.00 90.00
Atoms (fractional coordinates):
Pd 0.500 0.556 0.712
In 0.000 0.000 0.000
Pd 0.500 0.712 0.444
Pd 0.500 0.444 0.288
Pd 0.500 0.788 0.944
Pd 0.500 0.500 0.000
In 0.000 0.500 0.500
Al 0.000 0.621 0.879
Pd 0.500 0.212 0.056
Al 0.000 0.379 0.121
Nd 0.000 0.322 0.822
Pd 0.500 0.000 0.500
Pd 0.500 0.288 0.556
Nd 0.000 0.178 0.322
Pd 0.500 0.944 0.212
Al 0.000 0.121 0.621
Nd 0.000 0.822 0.678
Nd 0.000 0.678 0.178
Al 0.000 0.879 0.379
Pd 0.500 0.056 0.788

[3]
## Pm2NdAl2In2 (PBE)

Data for a relaxed structure of Pm2NdAl2In2.

Computed properties:
DOS(E_F)	6.17	states/eV/f.u.
formation energy	-281	meV per atom

a b c (Å): 4.725 4.725 10.131
angles (deg): 76.51 76.51 60.00
Atoms (fractional coordinates):
Al 0.599 0.599 0.202
Pm 0.870 0.870 0.390
Al 0.401 0.401 0.798
In 0.739 0.739 0.783
In 0.261 0.261 0.217
Nd 0.000 0.000 0.000
Pm 0.130 0.130 0.610

[4]
## PrNdAlIn (PBE)

Data for a relaxed structure of PrNdAlIn.

Computed properties:
distance to the lowest polymorph of the same formula	0.00	eV/f.u.
DOS(E_F)	2.01	states/eV/f.u.
formation energy	-414	meV per atom

a b c (Å): 3.806 3.806 7.695
angles (deg): 90.00 90.00 90.00
Atoms (fractional coordinates):
In 0.000 0.000 0.854
Al 0.000 0.000 0.360
Pr 0.500 0.500 0.117
Nd 0.500 0.500 0.597

[5]
## PrNdAlIn (PBE)

Data for a relaxed structure of PrNdAlIn.

Computed properties:
distance to the lowest polymorph of the same formula	0.03	eV/f.u.
DOS(E_F)	1.31	states/eV/f.u.
formation energy	-406	meV per atom

a b c (Å): 5.404 5.404 5.404
angles (deg): 60.00 60.00 60.00
Atoms (fractional coordinates):
Al 0.750 0.750 0.750
Nd 0.500 0.500 0.500
Pr 0.000 0.000 0.000
In 0.250 0.250 0.250

[6]
## Nd2Al3InPt4 (PBE)

Data for a relaxed structure of Nd2Al3InPt4.

Computed properties:
DOS(E_F)	9.35	states/eV/f.u.
formation energy	-1014	meV per atom

a b c (Å): 4.353 4.353 10.595
angles (deg): 90.00 90.00 90.00
Atoms (fractional coordinates):
In 0.500 0.500 0.500
Pt 0.500 0.000 0.647
Al 0.000 0.500 0.120
Al 0.000 0.000 0.500
Al 0.500 0.000 0.880
Pt 0.500 0.500 0.000
Nd 0.000 0.500 0.757
Pt 0.000 0.000 0.000
Pt 0.000 0.500 0.353
Nd 0.500 0.000 0.243

[7]
## NdScAlIn (PBE)

Data for a relaxed structure of NdScAlIn.

Computed properties:
DOS(E_F)	1.70	states/eV/f.u.
formation energy	-376	meV per atom

a b c (Å): 5.166 5.166 5.166
angles (deg): 60.00 60.00 60.00
Atoms (fractional coordinates):
Nd 0.250 0.250 0.250
Sc 0.750 0.750 0.750
In 0.000 0.000 0.000
Al 0.500 0.500 0.500

[8]
## TbNdAlIn (PBE)

Data for a relaxed structure of TbNdAlIn.

Computed properties:
distance to the lowest polymorph of the same formula	0.00	eV/f.u.
DOS(E_F)	2.11	states/eV/f.u.
formation energy	-426	meV per atom

a b c (Å): 3.736 3.736 7.569
angles (deg): 90.00 90.00 90.00
Atoms (fractional coordinates):
Nd 0.500 0.500 0.117
Tb 0.500 0.500 0.597
In 0.000 0.000 0.845
Al 0.000 0.000 0.368

[9]
## TbNdAlIn (PBE)

Data for a relaxed structure of TbNdAlIn.

Computed properties:
distance to the lowest polymorph of the same formula	0.05	eV/f.u.
DOS(E_F)	1.30	states/eV/f.u.
formation energy	-412	meV per atom

a b c (Å): 5.309 5.309 5.309
angles (deg): 60.00 60.00 60.00
Atoms (fractional coordinates):
Tb 0.000 0.000 0.000
Nd 0.500 0.500 0.500
In 0.250 0.250 0.250
Al 0.750 0.750 0.750

[10]
## NdTmAlIn (PBE)

Data for a relaxed structure of NdTmAlIn.

Computed properties:
distance to the lowest polymorph of the same formula	0.08	eV/f.u.
DOS(E_F)	1.35	states/eV/f.u.
formation energy	-393	meV per atom

a b c (Å): 5.271 5.271 5.271
angles (deg): 60.00 60.00 60.00
Atoms (fractional coordinates):
Tm 0.000 0.000 0.000
Nd 0.500 0.500 0.500
In 0.250 0.250 0.250
Al 0.750 0.750 0.750

[11]
## NdTmAlIn (PBE)

Data for a relaxed structure of NdTmAlIn.

Computed properties:
distance to the lowest polymorph of the same formula	0.00	eV/f.u.
DOS(E_F)	2.25	states/eV/f.u.
formation energy	-413	meV per atom

a b c (Å): 3.698 3.698 7.537
angles (deg): 90.00 90.00 90.00
Atoms (fractional coordinates):
Al 0.000 0.000 0.374
Tm 0.500 0.500 0.596
Nd 0.500 0.500 0.118
In 0.000 0.000 0.839

[12]
## Nd2Al4Zn3In (PBE)

Data for a relaxed structure of Nd2Al4Zn3In.

Computed properties:
DOS(E_F)	2.99	states/eV/f.u.
formation energy	-372	meV per atom

a b c (Å): 4.270 4.270 11.176
angles (deg): 90.00 90.00 90.00
Atoms (fractional coordinates):
Nd 0.000 0.500 0.756
Al 0.000 0.500 0.351
Zn 0.000 0.000 0.500
Al 0.000 0.000 0.000
Al 0.500 0.500 0.000
Zn 0.000 0.500 0.132
Al 0.500 0.000 0.649
In 0.500 0.500 0.500
Zn 0.500 0.000 0.868
Nd 0.500 0.000 0.244